Entry 1:
A PBEsol-optimized structure of KBe3Sb, computed with meta-GGA SCAN.

```
KBe3Sb
1.0
4.870 0.000 0.000
0.000 4.870 0.000
0.000 0.000 4.870
K Be Sb
1 3 1
Cartesian
0.000 0.000 0.000
0.000 0.000 2.435
0.000 2.435 0.000
2.435 0.000 0.000
2.435 2.435 2.435
```

Properties
Crystal system ... cubic
ΔE_f (raw) ... 2.260 eV/atom
Mass density ... 2.70 Mg/m³
N(E_F) ... 2.559 states/eV/cell
Volume ... 23.10 Å³ per atom

=====

Entry 2:
A PBEsol-optimized structure of KBeSb4, computed with meta-GGA SCAN.

```
KBeSb4
1.0
0.000 4.413 4.413
4.413 0.000 4.413
4.413 4.413 0.000
K Be Sb
1 1 4
Cartesian
0.000 0.000 0.000
6.620 6.620 6.620
3.340 3.340 3.340
5.487 5.487 3.340
5.487 3.340 5.487
3.340 5.487 5.487
```

Properties
Crystal system ... cubic
ΔE_f (raw) ... 0.395 eV/atom
Mass density ... 5.17 Mg/m³
N(E_F) ... 3.216 states/eV/cell
Volume ... 28.65 Å³ per atom

=====

Entry 3:
A PBEsol-optimized structure of KBeSb, computed with meta-GGA SCAN.

```
KBeSb
1.0
4.187 0.000 0.000
-2.093 3.626 0.000
0.000 0.000 5.362
K Be Sb
1 1 1
Cartesian
0.000 0.000 0.000
0.000 2.417 2.681
2.093 1.209 2.681
```

Properties
Crystal system ... hexagonal
ΔE_f (raw) ... -0.315 eV/atom
Mass density ... 3.47 Mg/m³
Volume ... 27.13 Å³ per atom

=====

Entry 4:
A PBEsol-optimized structure of KBe2Sb, computed with meta-GGA SCAN.

```
KBe2Sb
1.0
4.421 0.000 0.000
0.000 4.421 0.000
0.000 0.000 4.070
K Be Sb
1 2 1
Cartesian
0.000 0.000 0.000
0.000 2.210 2.035
2.210 0.000 2.035
2.210 2.210 0.000
```

Properties
Crystal system ... tetragonal
ΔE_f (raw) ... 0.898 eV/atom
Mass density ... 3.73 Mg/m³
N(E_F) ... 1.656 states/eV/cell
Volume ... 19.89 Å³ per atom

=====

Entry 5:
A PBEsol-optimized structure of KBe2Sb, computed with meta-GGA SCAN.

```
KBe2Sb
1.0
4.267 -1.985 0.000
4.267 1.985 0.000
-1.621 0.000 5.841
K Be Sb
1 2 1
Cartesian
0.000 0.000 0.000
0.941 0.000 3.092
5.972 0.000 2.749
3.456 0.000 2.920
```

Properties
Crystal system ... monoclinic
ΔE_f (raw) ... 0.338 eV/atom
Mass density ... 3.00 Mg/m³
N(E_F) ... 1.549 states/eV/cell
Volume ... 24.73 Å³ per atom

=====

Entry 6:
A PBEsol-optimized structure of K2ScBe, computed with meta-GGA SCAN.

```
K2ScBe
1.0
3.522 0.000 0.000
0.000 3.522 0.000
0.000 0.000 10.872
K Sc Be
2 1 1
Cartesian
0.000 0.000 0.000
1.761 1.761 4.215
0.000 0.000 7.426
1.761 1.761 8.437
```

Properties
Crystal system ... tetragonal
Mass density ... 1.63 Mg/m³
N(E_F) ... 2.746 states/eV/cell
Volume ... 33.72 Å³ per atom
E_form ... 1.8 eV per formula unit